No. 1
The following is a PBE-GGA calculation of GdLuBePd after structural relaxation, from the Alexandria database.

Cell lengths 4.890, 4.890, 4.890 Å; angles 60.00, 60.00, 60.00 degrees
Last column: magnetic moment on the atom in μB.
Element x y z (fractional)
1 Gd 0.750 0.750 0.750  -7.01
2 Be 0.500 0.500 0.500  0.00
3 Lu 0.250 0.250 0.250  0.00
4 Pd 0.000 0.000 0.000  0.00

Summary:
The calculation puts the total energy at -0.2661 hartree per atom. The space-group type is F-43m (216).

=====

No. 2
The following is a PBE-GGA calculation of Sm8P3RhSe4 after structural relaxation, from the Alexandria database.

Cell lengths 8.268, 8.349, 8.268 Å; angles 119.68, 120.00, 90.00 degrees
Element x y z (fractional)
1 Sm 0.243 0.731 0.988
2 Sm 0.243 0.731 0.486
3 Sm 0.256 0.269 0.513
4 Sm 0.745 0.731 0.988
5 Sm 0.255 0.269 0.012
6 Sm 0.744 0.731 0.487
7 Sm 0.757 0.269 0.514
8 Sm 0.757 0.269 0.012
9 P 0.500 0.500 0.000
10 P 0.500 0.500 0.500
11 P 0.000 0.500 0.500
12 Rh 0.000 0.500 0.000
13 Se 0.500 0.000 0.000
14 Se 0.500 0.000 0.500
15 Se 0.000 0.000 0.000
16 Se 0.000 0.000 0.500

Summary:
The calculation puts the total energy at -0.2324 hartree per atom. The space-group type is R-3m (166). For the uncorrected formation energy, the calculation gives -1.62 eV/atom.